# Ba2CeI6 (PBE-GGA, optimized geometry)
# Density of states at the Fermi level   1.325 states/eV/atom
# Energy relative to the elements, uncorrected   -1.497 eV/atom
data_Ba2CeI6
_chemical_formula_sum 'Ba4 Ce2 I12'
_cell_length_a 8.141
_cell_length_b 8.141
_cell_length_c 14.785
_cell_angle_alpha 90.00
_cell_angle_beta 90.00
_cell_angle_gamma 90.00
_space_group_name_H-M_alt 'P 42/m n m'
_space_group_IT_number 136
_space_group_name_Hall '-P 4n 2n'
loop_
_atom_site_label
_atom_site_type_symbol
_atom_site_fract_x
_atom_site_fract_y
_atom_site_fract_z
_atom_site_occupancy
Ba1 Ba 0.000 0.000 0.172 1
Ce1 Ce 0.000 0.000 0.500 1
I1 I 0.200 0.200 0.345 1
I2 I 0.213 0.213 0.000 1